1.
Below is an optimized crystal structure of Li2NpTa3N6, with properties calculated at the GGA-PBE level.

- Fermi-level density of states: 7.03 states/eV per cell
- Uncorrected energy: -115.6 eV per formula unit
- Magnetization: 2.64 μB/cell
- Calculated density: 10.87 g cm⁻³
- Energy relative to the elements, uncorrected: -1.112 eV/atom

a = 3.127 Å, b = 6.487 Å, c = 7.044 Å
α = 105.44°, β = 102.83°, γ = 90.00°
Fractional coordinates of all 12 atoms:
Ta1 0.500 0.500 0.000
Ta2 0.827 0.173 0.653
Ta3 0.173 0.827 0.347
N1 0.337 0.396 0.673
N2 0.998 0.269 0.997
N3 0.331 0.931 0.662
N4 0.669 0.069 0.338
N5 0.663 0.604 0.327
N6 0.002 0.731 0.003
Li1 0.177 0.364 0.354
Li2 0.823 0.636 0.646
Np1 0.500 0.000 0.000

=====

2.
Below is an optimized crystal structure of Li3Np3TaN8, with properties calculated at the GGA-PBE level.

- Fermi-level density of states: 13.69 states/eV per cell
- Uncorrected energy: -136.2 eV per formula unit
- Magnetization: 5.00 μB/cell
- Calculated density: 8.66 g cm⁻³
- Energy relative to the elements, uncorrected: -0.876 eV/atom

a = 6.703 Å, b = 6.703 Å, c = 6.364 Å
α = 121.80°, β = 90.00°, γ = 120.00°
Fractional coordinates of all 15 atoms:
N1 0.228 0.975 0.702
N2 0.747 0.975 0.702
N3 0.772 0.025 0.298
N4 0.262 0.524 0.286
N5 0.253 0.025 0.298
N6 0.228 0.456 0.702
N7 0.738 0.476 0.714
N8 0.772 0.544 0.298
Li1 0.500 0.500 0.000
Li2 0.000 0.500 0.000
Li3 0.000 0.000 0.000
Np1 0.500 0.000 0.500
Np2 0.500 0.500 0.500
Np3 0.000 0.500 0.500
Ta1 0.000 0.000 0.500

=====

3.
Below is an optimized crystal structure of Li4NpTa3N8, with properties calculated at the GGA-PBE level.

- Fermi-level density of states: 3.69 states/eV per cell
- Uncorrected energy: -138.8 eV per formula unit
- Magnetization: 2.03 μB/cell
- Calculated density: 8.57 g cm⁻³
- Energy relative to the elements, uncorrected: -1.001 eV/atom

a = 6.347 Å, b = 6.285 Å, c = 6.347 Å
α = 120.32°, β = 120.00°, γ = 90.00°
Fractional coordinates of all 16 atoms:
N1 0.243 0.716 0.973
N2 0.243 0.716 0.486
N3 0.730 0.716 0.973
N4 0.270 0.284 0.027
N5 0.757 0.284 0.027
N6 0.757 0.284 0.514
N7 0.739 0.717 0.478
N8 0.261 0.283 0.522
Li1 0.500 0.000 0.000
Li2 0.000 0.000 0.000
Li3 0.000 0.000 0.500
Li4 0.500 0.000 0.500
Ta1 0.500 0.500 0.000
Ta2 0.000 0.500 0.500
Ta3 0.500 0.500 0.500
Np1 0.000 0.500 0.000

=====

4.
Below is an optimized crystal structure of LiNpTa4N8, with properties calculated at the GGA-PBE level.

- Fermi-level density of states: 7.48 states/eV per cell
- Uncorrected energy: -141.6 eV per formula unit
- Magnetization: 3.27 μB/cell
- Calculated density: 10.16 g cm⁻³
- Energy relative to the elements, uncorrected: -0.911 eV/atom

a = 6.408 Å, b = 6.408 Å, c = 6.191 Å
α = 58.84°, β = 58.84°, γ = 60.00°
Fractional coordinates of all 14 atoms:
N1 0.248 0.727 0.298
N2 0.727 0.727 0.298
N3 0.727 0.248 0.298
N4 0.759 0.759 0.724
N5 0.805 0.231 0.732
N6 0.231 0.231 0.732
N7 0.246 0.246 0.261
N8 0.231 0.805 0.732
Ta1 0.485 0.006 0.503
Ta2 0.006 0.485 0.503
Ta3 0.624 0.624 0.129
Ta4 0.006 0.006 0.503
Np1 0.405 0.405 0.784
Li1 0.999 0.999 0.003

=====

5.
Below is an optimized crystal structure of Li4Np3TaN8, with properties calculated at the GGA-PBE level.

- Fermi-level density of states: 15.06 states/eV per cell
- Uncorrected energy: -139.8 eV per formula unit
- Magnetization: 6.00 μB/cell
- Calculated density: 8.69 g cm⁻³
- Energy relative to the elements, uncorrected: -0.930 eV/atom

a = 6.690 Å, b = 6.387 Å, c = 6.690 Å
α = 121.59°, β = 120.00°, γ = 90.00°
Fractional coordinates of all 16 atoms:
Li1 0.000 0.000 0.500
Li2 0.000 0.000 0.000
Li3 0.500 0.000 0.000
Li4 0.500 0.000 0.500
Ta1 0.000 0.500 0.000
N1 0.769 0.289 0.020
N2 0.737 0.712 0.475
N3 0.231 0.711 0.463
N4 0.231 0.711 0.980
N5 0.251 0.289 0.020
N6 0.263 0.288 0.525
N7 0.749 0.711 0.980
N8 0.769 0.289 0.537
Np1 0.500 0.500 0.000
Np2 0.500 0.500 0.500
Np3 0.000 0.500 0.500

=====

6.
Below is an optimized crystal structure of LiTbNpN3, with properties calculated at the GGA-PBE level.

- Fermi-level density of states: 8.85 states/eV per cell
- Uncorrected energy: -50.8 eV per formula unit
- Magnetization: 3.90 μB/cell
- Calculated density: 9.23 g cm⁻³
- Energy relative to the elements, uncorrected: -1.052 eV/atom

a = 3.414 Å, b = 7.041 Å, c = 6.826 Å
α = 102.65°, β = 90.00°, γ = 90.00°
Fractional coordinates of all 12 atoms:
N1 0.250 0.790 0.481
N2 0.750 0.886 0.138
N3 0.250 0.584 0.867
N4 0.250 0.114 0.862
N5 0.750 0.416 0.133
N6 0.750 0.210 0.519
Np1 0.750 0.327 0.820
Np2 0.250 0.673 0.180
Li1 0.250 0.073 0.580
Li2 0.750 0.927 0.420
Tb1 0.250 0.178 0.214
Tb2 0.750 0.822 0.786

=====

7.
Below is an optimized crystal structure of LiTb2Np3N6, with properties calculated at the GGA-PBE level.

- Fermi-level density of states: 17.02 states/eV per cell
- Uncorrected energy: -114.5 eV per formula unit
- Magnetization: 9.56 μB/cell
- Calculated density: 10.69 g cm⁻³
- Energy relative to the elements, uncorrected: -1.213 eV/atom

a = 3.475 Å, b = 6.907 Å, c = 7.640 Å
α = 102.67°, β = 103.14°, γ = 90.00°
Fractional coordinates of all 12 atoms:
N1 0.325 0.924 0.649
N2 0.675 0.076 0.351
N3 0.336 0.412 0.672
N4 0.664 0.588 0.328
N5 0.004 0.719 0.009
N6 0.996 0.281 0.991
Np1 0.162 0.837 0.325
Np2 0.838 0.163 0.675
Np3 0.500 0.500 0.000
Tb1 0.835 0.672 0.670
Tb2 0.165 0.328 0.330
Li1 0.500 0.000 0.000

=====

8.
Below is an optimized crystal structure of Li2NpTcN4, with properties calculated at the GGA-PBE level.

- Fermi-level density of states: 10.91 states/eV per cell
- Uncorrected energy: -62.7 eV per formula unit
- Magnetization: 5.70 μB/cell
- Calculated density: 7.35 g cm⁻³
- Energy relative to the elements, uncorrected: -0.279 eV/atom

a = 3.191 Å, b = 6.292 Å, c = 9.426 Å
α = 90.00°, β = 90.00°, γ = 104.69°
Fractional coordinates of all 16 atoms:
Li1 0.593 0.186 0.039
Li2 0.593 0.186 0.461
Li3 0.407 0.814 0.961
Li4 0.407 0.814 0.539
Np1 0.042 0.085 0.750
Np2 0.958 0.915 0.250
N1 0.000 0.000 0.500
N2 0.690 0.380 0.889
N3 0.400 0.801 0.750
N4 0.600 0.199 0.250
N5 0.310 0.620 0.389
N6 0.690 0.380 0.611
N7 0.310 0.620 0.111
N8 0.000 0.000 0.000
Tc1 0.216 0.432 0.250
Tc2 0.784 0.568 0.750